No. 1
Below is an optimized crystal structure of Gd2DyGa3Si2Ni, with properties calculated at the GGA-PBE level.

a b c (Å): 4.171 11.951 6.918
angles (deg): 90.00 90.00 90.00
Space group Amm2 (No. 38)
Symmetry-distinct sites (fractional):
Gd 0.000 0.202 0.000 [4 per cell]
Dy 0.000 0.000 0.604 [2 per cell]
Ga 0.500 0.000 0.966 [2 per cell]
Ga 0.500 0.117 0.320 [4 per cell]
Si 0.500 0.165 0.701 [4 per cell]
Ni 0.000 0.000 0.204 [2 per cell]

Values from the calculation:
The calculation puts the calculated total energy at -91.19 eV per cell. As for the volume: 345 Å³/cell.

---

No. 2
Below is an optimized crystal structure of Sn2PtO4, with properties calculated at the GGA-PBE level.

a b c (Å): 9.321 9.321 9.321
angles (deg): 90.00 90.00 90.00
Space group Fd-3m (No. 227, origin choice 2)
Symmetry-distinct sites (fractional):
Sn 0.000 0.000 0.000 [16 per cell]
Pt 0.125 0.125 0.625 [8 per cell]
O 0.019 0.019 0.231 [32 per cell]

Values from the calculation:
The calculation puts the calculated total energy at -312.18 eV per cell. As for the volume: 810 Å³/cell.

---

No. 3
Below is an optimized crystal structure of NdYTlFe2, with properties calculated at the GGA-PBE level.

a b c (Å): 3.990 3.880 14.026
angles (deg): 90.00 90.00 90.00
Space group Amm2 (No. 38)
Symmetry-distinct sites (fractional):
Nd 0.000 0.000 0.000 [2 per cell]
Y 0.000 0.000 0.275 [2 per cell]
Tl 0.500 0.000 0.641 [2 per cell]
Fe 0.500 0.000 0.423 [2 per cell]
Fe 0.500 0.000 0.846 [2 per cell]

Values from the calculation:
The calculation puts the calculated total energy at -61.46 eV per cell. As for the volume: 217 Å³/cell.

---

No. 4
Below is an optimized crystal structure of PrErZn6, with properties calculated at the GGA-PBE level.

a b c (Å): 4.722 6.713 4.723
angles (deg): 90.00 90.00 90.00
Space group Pmm2 (No. 25)
Symmetry-distinct sites (fractional):
Pr 0.000 0.000 0.000 [1 per cell]
Er 0.500 0.500 0.494 [1 per cell]
Zn 0.000 0.263 0.501 [2 per cell]
Zn 0.000 0.500 0.000 [1 per cell]
Zn 0.500 0.000 0.497 [1 per cell]
Zn 0.500 0.263 0.993 [2 per cell]

Values from the calculation:
The calculation puts the calculated total energy at -19.12 eV per cell. As for the volume: 150 Å³/cell. The value obtained for the formation energy is -212 kJ/mol of formula units.

---

No. 5
Below is an optimized crystal structure of TmScTc, with properties calculated at the GGA-PBE level.

a b c (Å): 6.483 6.483 6.483
angles (deg): 90.00 90.00 90.00
Space group F-43m (No. 216)
Symmetry-distinct sites (fractional):
Tm 0.000 0.000 0.000 [4 per cell]
Sc 0.250 0.250 0.750 [4 per cell]
Tc 0.000 0.000 0.500 [4 per cell]

Values from the calculation:
The calculation puts the calculated total energy at -75.46 eV per cell. As for the volume: 273 Å³/cell. The value obtained for the formation energy is 222 kJ/mol of formula units.

---

No. 6
Below is an optimized crystal structure of MgBe2Ir, with properties calculated at the GGA-PBE level.

a b c (Å): 5.814 5.814 5.814
angles (deg): 90.00 90.00 90.00
Space group F-43m (No. 216)
Symmetry-distinct sites (fractional):
Mg 0.000 0.000 0.000 [4 per cell]
Be 0.000 0.000 0.500 [4 per cell]
Be 0.250 0.250 0.750 [4 per cell]
Ir 0.250 0.250 0.250 [4 per cell]

Values from the calculation:
The calculation puts the calculated total energy at -72.48 eV per cell. As for the volume: 196 Å³/cell.

---

No. 7
Below is an optimized crystal structure of Zr2Te2Au, with properties calculated at the GGA-PBE level.

a b c (Å): 4.724 4.724 12.436
angles (deg): 90.00 90.00 90.00
Space group I4/mmm (No. 139)
Symmetry-distinct sites (fractional):
Zr 0.000 0.000 0.116 [4 per cell]
Te 0.000 0.500 0.250 [4 per cell]
Au 0.000 0.000 0.500 [2 per cell]

Values from the calculation:
The calculation puts the calculated total energy at -53.64 eV per cell. As for the volume: 277 Å³/cell.

---

No. 8
Below is an optimized crystal structure of Gd3AsBr2Cl, with properties calculated at the GGA-PBE level.

a b c (Å): 5.744 5.744 5.834
angles (deg): 90.00 90.00 90.00
Space group P4/mmm (No. 123)
Symmetry-distinct sites (fractional):
Gd 0.000 0.000 0.000 [1 per cell]
Gd 0.000 0.500 0.500 [2 per cell]
As 0.000 0.000 0.500 [1 per cell]
Br 0.000 0.500 0.000 [2 per cell]
Cl 0.500 0.500 0.500 [1 per cell]

Values from the calculation:
The calculation puts the calculated total energy at -34.17 eV per cell. As for the volume: 192 Å³/cell.

---

No. 9
Below is an optimized crystal structure of GdScNO, with properties calculated at the GGA-PBE level.

a b c (Å): 7.812 6.387 4.750
angles (deg): 90.00 90.00 90.00
Space group Pbcm (No. 57)
Symmetry-distinct sites (fractional):
Gd 0.131 0.063 0.250 [4 per cell]
Sc 0.384 0.588 0.250 [4 per cell]
N 0.390 0.584 0.750 [4 per cell]
O 0.151 0.083 0.750 [4 per cell]

Values from the calculation:
The calculation puts the calculated total energy at -132.88 eV per cell. As for the volume: 237 Å³/cell.

---

No. 10
Below is an optimized crystal structure of SmTlGaSe3, with properties calculated at the GGA-PBE level.

a b c (Å): 4.594 13.903 11.148
angles (deg): 90.00 90.00 90.00
Space group Cmcm (No. 63)
Symmetry-distinct sites (fractional):
Sm 0.000 0.000 0.000 [4 per cell]
Tl 0.000 0.252 0.250 [4 per cell]
Ga 0.000 0.484 0.750 [4 per cell]
Se 0.000 0.068 0.750 [4 per cell]
Se 0.000 0.372 0.570 [8 per cell]

Values from the calculation:
The calculation puts the calculated total energy at -105.71 eV per cell. As for the volume: 712 Å³/cell.

---

No. 11
Below is an optimized crystal structure of AcPrGd, with properties calculated at the GGA-PBE level.

a b c (Å): 8.053 8.053 8.053
angles (deg): 90.00 90.00 90.00
Space group F-43m (No. 216)
Symmetry-distinct sites (fractional):
Ac 0.000 0.000 0.000 [4 per cell]
Pr 0.250 0.250 0.250 [4 per cell]
Gd 0.000 0.000 0.500 [4 per cell]

Values from the calculation:
The calculation puts the calculated total energy at -45.93 eV per cell. As for the volume: 522 Å³/cell. The value obtained for the formation energy is 198 kJ/mol of formula units.

---

No. 12
Below is an optimized crystal structure of Mg2Sc2ZnCu2Ag, with properties calculated at the GGA-PBE level.

a b c (Å): 4.617 4.617 6.528
angles (deg): 90.00 90.00 90.00
Space group P-4m2 (No. 115)
Symmetry-distinct sites (fractional):
Mg 0.000 0.500 0.248 [2 per cell]
Sc 0.000 0.500 0.755 [2 per cell]
Zn 0.500 0.500 0.000 [1 per cell]
Cu 0.000 0.000 0.000 [1 per cell]
Cu 0.500 0.500 0.500 [1 per cell]
Ag 0.000 0.000 0.500 [1 per cell]

Values from the calculation:
The calculation puts the calculated total energy at -29.29 eV per cell. As for the volume: 139 Å³/cell.